P.
A crystal of HgRu2Pb relaxed with PBEsol, computed with meta-GGA SCAN.

Cell lengths 4.6490, 4.6490, 4.6490 Å; angles 60.00, 60.00, 60.00 degrees
Atoms (fractional coordinates):
Hg 0.0000 0.0000 0.0000
Ru 0.2500 0.2500 0.2500
Ru 0.5000 0.5000 0.5000
Pb 0.7500 0.7500 0.7500

density = 14.3 g cm⁻³
DOS(E_F) = 0.838 states/eV/atom
crystal system = cubic

Q.
A crystal of HgRu2Pb relaxed with PBEsol, computed with meta-GGA SCAN.

Cell lengths 5.3663, 5.3663, 3.0055 Å; angles 104.85, 104.85, 112.79 degrees
Atoms (fractional coordinates):
Hg 0.0000 0.0000 0.0000
Ru 0.0000 0.5000 0.5000
Ru 0.5000 0.0000 0.5000
Pb 0.5000 0.5000 0.0000

density = 14.3 g cm⁻³
DOS(E_F) = 0.925 states/eV/atom
crystal system = monoclinic

It comes down to Q, which is 8.3 kJ/mol of atoms more stable than the next structure.